Entry 1:
Compound: ZrBe3
Source: Alexandria
Functional: PBE-GGA
Structure: optimized geometry

## Properties
ΔE to the lowest computed polymorph = 0.285 eV/atom
ΔE_f = 0.105 eV per atom

```
data_ZrBe3
_chemical_formula_sum 'Zr1 Be3'
_cell_length_a 3.7209
_cell_length_b 3.7209
_cell_length_c 3.7209
_cell_angle_alpha 90.00
_cell_angle_beta 90.00
_cell_angle_gamma 90.00
_symmetry_space_group_name_H-M 'P m -3 m'
_symmetry_Int_Tables_number 221
_symmetry_space_group_name_Hall '-P 4 2 3'
loop_
_atom_site_label
_atom_site_type_symbol
_atom_site_fract_x
_atom_site_fract_y
_atom_site_fract_z
_atom_site_occupancy
Zr1 Zr 0.0000 0.0000 0.0000 1
Be1 Be 0.0000 0.5000 0.5000 1
```


Entry 2:
Compound: Ba2In5Ag3
Source: Alexandria
Functional: PBE-GGA
Structure: optimized geometry

## Properties
ΔE to the lowest computed polymorph = 0.019 eV/atom
ΔE_f = -0.301 eV per atom

```
data_Ba2In5Ag3
_chemical_formula_sum 'Ba2 In5 Ag3'
_cell_length_a 4.8501
_cell_length_b 4.8501
_cell_length_c 12.1777
_cell_angle_alpha 90.00
_cell_angle_beta 90.00
_cell_angle_gamma 90.00
_symmetry_space_group_name_H-M 'P -4 m 2'
_symmetry_Int_Tables_number 115
loop_
_symmetry_equiv_pos_as_xyz
'x,y,z'
'y,-x,-z'
'-x,-y,z'
'-y,x,-z'
'-x,y,z'
'-y,-x,-z'
'x,-y,z'
'y,x,-z'
loop_
_atom_site_label
_atom_site_type_symbol
_atom_site_fract_x
_atom_site_fract_y
_atom_site_fract_z
_atom_site_occupancy
Ba1 Ba 0.0000 0.5000 0.2388 1
In1 In 0.0000 0.0000 0.5000 1
In2 In 0.0000 0.5000 0.6486 1
In3 In 0.5000 0.5000 0.0000 1
In4 In 0.5000 0.5000 0.5000 1
Ag1 Ag 0.0000 0.0000 0.0000 1
Ag2 Ag 0.0000 0.5000 0.8762 1
```


Entry 3:
Compound: GdTiHgAu
Source: Alexandria
Functional: PBE-GGA
Structure: optimized geometry

## Properties
ΔE_f = -0.313 eV per atom

```
data_GdTiHgAu
_chemical_formula_sum 'Gd4 Ti4 Hg4 Au4'
_cell_length_a 7.0580
_cell_length_b 7.0580
_cell_length_c 7.0580
_cell_angle_alpha 90.00
_cell_angle_beta 90.00
_cell_angle_gamma 90.00
_symmetry_space_group_name_H-M 'F -4 3 m'
_symmetry_Int_Tables_number 216
_symmetry_space_group_name_Hall 'F -4 2 3'
loop_
_atom_site_label
_atom_site_type_symbol
_atom_site_fract_x
_atom_site_fract_y
_atom_site_fract_z
_atom_site_occupancy
Gd1 Gd 0.0000 0.0000 0.0000 1
Ti1 Ti 0.0000 0.0000 0.5000 1
Hg1 Hg 0.2500 0.2500 0.7500 1
Au1 Au 0.2500 0.2500 0.2500 1
```


Entry 4:
Compound: KSr3
Source: Alexandria
Functional: PBE-GGA
Structure: optimized geometry

## Properties
ΔE to the lowest computed polymorph = 0.053 eV/atom
ΔE_f = 0.098 eV per atom

```
data_KSr3
_chemical_formula_sum 'K1 Sr3'
_cell_length_a 6.1366
_cell_length_b 6.1366
_cell_length_c 6.1366
_cell_angle_alpha 90.00
_cell_angle_beta 90.00
_cell_angle_gamma 90.00
_symmetry_space_group_name_H-M 'P m -3 m'
_symmetry_Int_Tables_number 221
_symmetry_space_group_name_Hall '-P 4 2 3'
loop_
_atom_site_label
_atom_site_type_symbol
_atom_site_fract_x
_atom_site_fract_y
_atom_site_fract_z
_atom_site_occupancy
K1 K 0.0000 0.0000 0.0000 1
Sr1 Sr 0.0000 0.5000 0.5000 1
```


Entry 5:
Compound: MgMoCl
Source: Alexandria
Functional: PBE-GGA
Structure: optimized geometry

## Properties
Uncorrected formation energy = 191 meV per atom
ΔE to the lowest computed polymorph = 0.157 eV/atom

```
data_MgMoCl
_chemical_formula_sum 'Mg4 Mo4 Cl4'
_cell_length_a 3.0812
_cell_length_b 5.3415
_cell_length_c 13.0449
_cell_angle_alpha 90.00
_cell_angle_beta 90.00
_cell_angle_gamma 90.00
_symmetry_space_group_name_H-M 'F m m 2'
_symmetry_Int_Tables_number 42
_symmetry_space_group_name_Hall 'F 2 -2'
loop_
_atom_site_label
_atom_site_type_symbol
_atom_site_fract_x
_atom_site_fract_y
_atom_site_fract_z
_atom_site_occupancy
Mg1 Mg 0.0000 0.0000 0.0000 1
Mo1 Mo 0.0000 0.0000 0.6750 1
Cl1 Cl 0.0000 0.0000 0.3317 1
```


Entry 6:
Compound: RbCaOs2O8
Source: Alexandria
Functional: PBE-GGA
Structure: optimized geometry

## Properties
Uncorrected formation energy = -1451 meV per atom

```
data_RbCaOs2O8
_chemical_formula_sum 'Rb1 Ca1 Os2 O8'
_cell_length_a 6.0559
_cell_length_b 6.0559
_cell_length_c 8.0048
_cell_angle_alpha 90.00
_cell_angle_beta 90.00
_cell_angle_gamma 120.00
_symmetry_space_group_name_H-M 'P -3'
_symmetry_Int_Tables_number 147
loop_
_symmetry_equiv_pos_as_xyz
'x,y,z'
'-x,-y,-z'
'-y,x-y,z'
'y,-x+y,-z'
'-x+y,-x,z'
'x-y,x,-z'
loop_
_atom_site_label
_atom_site_type_symbol
_atom_site_fract_x
_atom_site_fract_y
_atom_site_fract_z
_atom_site_occupancy
Rb1 Rb 0.0000 0.0000 0.0000 1
Ca1 Ca 0.0000 0.0000 0.5000 1
Os1 Os 0.3333 0.6667 0.7576 1
O1 O 0.1682 0.3439 0.6847 1
O2 O 0.3333 0.6667 0.9787 1
```


Entry 7:
Compound: Re2SbMoH
Source: Alexandria
Functional: PBE-GGA
Structure: optimized geometry

## Properties
Calculated total energy = -37.45 eV per formula unit

```
data_Re2SbMoH
_chemical_formula_sum 'Re2 Sb1 Mo1 H1'
_cell_length_a 4.8897
_cell_length_b 4.8897
_cell_length_c 3.3425
_cell_angle_alpha 90.00
_cell_angle_beta 90.00
_cell_angle_gamma 90.00
_symmetry_space_group_name_H-M 'P 4/m m m'
_symmetry_Int_Tables_number 123
_symmetry_space_group_name_Hall '-P 4 2'
loop_
_atom_site_label
_atom_site_type_symbol
_atom_site_fract_x
_atom_site_fract_y
_atom_site_fract_z
_atom_site_occupancy
Re1 Re 0.0000 0.5000 0.0000 1
Sb1 Sb 0.0000 0.0000 0.5000 1
Mo1 Mo 0.5000 0.5000 0.0000 1
H1 H 0.5000 0.5000 0.5000 1
```


Copy entry 5 word for word.
Compound: MgMoCl
Source: Alexandria
Functional: PBE-GGA
Structure: optimized geometry

## Properties
Uncorrected formation energy = 191 meV per atom
ΔE to the lowest computed polymorph = 0.157 eV/atom

```
data_MgMoCl
_chemical_formula_sum 'Mg4 Mo4 Cl4'
_cell_length_a 3.0812
_cell_length_b 5.3415
_cell_length_c 13.0449
_cell_angle_alpha 90.00
_cell_angle_beta 90.00
_cell_angle_gamma 90.00
_symmetry_space_group_name_H-M 'F m m 2'
_symmetry_Int_Tables_number 42
_symmetry_space_group_name_Hall 'F 2 -2'
loop_
_atom_site_label
_atom_site_type_symbol
_atom_site_fract_x
_atom_site_fract_y
_atom_site_fract_z
_atom_site_occupancy
Mg1 Mg 0.0000 0.0000 0.0000 1
Mo1 Mo 0.0000 0.0000 0.6750 1
Cl1 Cl 0.0000 0.0000 0.3317 1
```